Dy5In4Ag, relaxed, DFT GGA-PBE; uncorrected energy = -4.13 eV per atom; ΔH_f (0 K) = -0.444 eV/atom; N(E_F) = 0.66 states/eV/atom; magnetization = 0.000 μB per cell
1.0
3.582 0.000 0.000
0.000 3.582 0.000
0.000 0.000 20.306
Dy In Ag
5 4 1
Cartesian
0.000 0.000 0.000 Dy
0.000 0.000 4.168 Dy
0.000 0.000 8.304 Dy
0.000 0.000 12.002 Dy
0.000 0.000 16.138 Dy
1.791 1.791 2.085 In
1.791 1.791 6.252 In
1.791 1.791 14.054 In
1.791 1.791 18.221 In
1.791 1.791 10.153 Ag